(1)
Computed, not measured: an optimized crystal structure of BaLiSi4 at the PBE level of DFT.

Cell lengths 5.511, 5.511, 5.511 Å; angles 60.00, 60.00, 60.00 degrees
Sites, in units of the cell vectors:
1 Ba 0.000 0.000 0.000
2 Li 0.750 0.750 0.750
3 Si 0.378 0.378 0.378
4 Si 0.378 0.378 0.866
5 Si 0.378 0.866 0.378
6 Si 0.866 0.378 0.378

Values from the calculation:
Formation energy from raw total energies: 0.24 eV per formula unit

=====

(2)
Computed, not measured: an optimized crystal structure of La2TaAu at the PBE level of DFT.

Cell lengths 3.449, 3.449, 30.507 Å; angles 90.00, 90.00, 120.00 degrees
Sites, in units of the cell vectors:
1 La 0.000 0.000 0.000
2 La 0.000 0.000 0.230
3 La 0.333 0.667 0.667
4 La 0.333 0.667 0.896
5 La 0.667 0.333 0.333
6 La 0.667 0.333 0.563
7 Ta 0.000 0.000 0.749
8 Ta 0.333 0.667 0.416
9 Ta 0.667 0.333 0.083
10 Au 0.000 0.000 0.480
11 Au 0.333 0.667 0.147
12 Au 0.667 0.333 0.813

Values from the calculation:
Energy above the lowest structure with this stoichiometry: 225.9 meV/atom
Energy of formation: 0.220 eV/atom

=====

(3)
Computed, not measured: an optimized crystal structure of Zr2TaAs at the PBE level of DFT.

Cell lengths 4.397, 3.562, 10.300 Å; angles 90.00, 90.00, 90.00 degrees
Sites, in units of the cell vectors:
1 Zr 0.000 0.000 0.000
2 Zr 0.000 0.500 0.500
3 Zr 0.500 0.000 0.288
4 Zr 0.500 0.500 0.788
5 Ta 0.000 0.000 0.730
6 Ta 0.000 0.500 0.230
7 As 0.500 0.000 0.565
8 As 0.500 0.500 0.065

Values from the calculation:
Energy of formation: -0.404 eV/atom

=====

(4)
Computed, not measured: an optimized crystal structure of BaSiHg at the PBE level of DFT.

Cell lengths 14.659, 4.003, 6.174 Å; angles 90.00, 98.81, 90.00 degrees
Sites, in units of the cell vectors:
1 Ba 0.118 0.000 0.339
2 Ba 0.382 0.500 0.661
3 Ba 0.618 0.500 0.339
4 Ba 0.882 0.000 0.661
5 Si 0.238 0.000 0.880
6 Si 0.262 0.500 0.120
7 Si 0.738 0.500 0.880
8 Si 0.762 0.000 0.120
9 Hg 0.081 0.500 0.815
10 Hg 0.419 0.000 0.185
11 Hg 0.581 0.000 0.815
12 Hg 0.919 0.500 0.185

Values from the calculation:
Formation energy from raw total energies: -1.08 eV per formula unit